The following is a PBE calculation of an optimized crystal structure of SrZn3Ir, from the Open Quantum Materials Database.

total magnetization = 0.01 μB/cell
excess energy over the best structure of this formula in the dataset = 0 meV/atom

a b c (Å): 6.463 6.463 5.076
angles (deg): 90.00 90.00 90.00
Sites, in units of the cell vectors:
Zn 0.500 0.000 0.176
Zn 0.750 0.750 0.500
Zn 0.750 0.250 0.500
Zn 0.250 0.250 0.500
Zn 0.000 0.500 0.824
Zn 0.250 0.750 0.500
Sr 0.000 0.000 0.000
Sr 0.500 0.500 0.000
Ir 0.000 0.500 0.312
Ir 0.500 0.000 0.688